An optimized crystal structure of TbYIrOs. Source: Alexandria via LeMat-Bulk, functional PBE-GGA.

```
TbYIrOs
1.0
0.0000 3.4264 3.4264
3.4264 0.0000 3.4264
3.4264 3.4264 0.0000
Tb Y Ir Os
1 1 1 1
direct
0.0000 0.0000 0.0000
0.5000 0.5000 0.5000
0.7500 0.7500 0.7500
0.2500 0.2500 0.2500
```

Results
- total DFT energy (no corrections) (eV per atom) = -8.20
- DFT formation energy (eV/atom) = -0.404